Entry from the Alexandria database: a geometry-optimized TaNi2S structure (PBE).

abc: 4.270 4.270 4.270
angles: 60.00 60.00 60.00
Element x y z (fractional)
Ni (0.250, 0.250, 0.250)
Ni (0.750, 0.750, 0.750)
S (0.000, 0.000, 0.000)
Ta (0.500, 0.500, 0.500)

Summary:
Total magnetization (μB/f.u.): 0.0
SG: Fm-3m (225)
Uncorrected formation energy (meV per atom): 265.1
Excess energy over the best structure of this formula in the dataset (meV/atom): 445.9